[1]
HoBeZnPt3 | GGA-PBE | relaxed

Summary:
The space group is Cmcm (63). The value obtained for the total energy is -62.9 eV per cell. For the energy relative to the elements, the calculation gives -0.627 eV/atom.

abc: 5.498 6.912 6.616
angles: 121.49 90.00 90.00
Element x y z (fractional)
Pt: 0.250 0.190 0.380
Pt: 0.000 0.700 0.000
Pt: 0.750 0.810 0.620
Pt: 0.500 0.700 0.000
Pt: 0.000 0.300 0.000
Pt: 0.500 0.300 0.000
Ho: 0.750 0.302 0.604
Ho: 0.250 0.698 0.396
Be: 0.750 0.615 0.229
Be: 0.250 0.385 0.771
Zn: 0.750 0.040 0.081
Zn: 0.250 0.960 0.919


[2]
Ba4Ga3Ir2 | GGA-PBE | relaxed

Summary:
The space group is C2/m (12). The value obtained for the total energy is -37.8 eV per cell. For the energy relative to the elements, the calculation gives -0.363 eV/atom.

abc: 4.124 8.081 8.994
angles: 110.04 103.25 90.00
Element x y z (fractional)
Ir: 0.577 0.443 0.155
Ir: 0.423 0.557 0.845
Ga: 0.096 0.271 0.193
Ga: 0.000 0.500 0.000
Ga: 0.904 0.729 0.807
Ba: 0.225 0.684 0.449
Ba: 0.422 0.097 0.844
Ba: 0.578 0.903 0.156
Ba: 0.775 0.316 0.551


[3]
Ba2BiPdRh | GGA-PBE | relaxed

Summary:
The space group is P4/mmm (123). The value obtained for the total energy is -20.6 eV per cell. For the energy relative to the elements, the calculation gives -0.057 eV/atom.

abc: 6.014 6.014 4.931
angles: 90.00 90.00 90.00
Site moments in Bohr magnetons follow the coordinates.
Element x y z (fractional)
Rh: 0.000 0.000 0.500  0.77
Ba: 0.000 0.500 0.000  -0.01
Ba: 0.500 0.000 0.000  -0.01
Pd: 0.000 0.000 0.000  0.23
Bi: 0.500 0.500 0.500  0.07


[4]
Y3AlO6 | GGA-PBE | relaxed

Summary:
The space group is R-3 (148). The value obtained for the total energy is -173.5 eV per cell. The calculation puts the raw formation energy at -3.385 eV/atom.

abc: 6.456 6.456 6.456
angles: 92.43 92.43 92.43
Element x y z (fractional)
O: 0.292 0.929 0.068
O: 0.456 0.582 0.790
O: 0.071 0.932 0.708
O: 0.582 0.790 0.456
O: 0.210 0.544 0.418
O: 0.929 0.068 0.292
O: 0.932 0.708 0.071
O: 0.708 0.071 0.932
O: 0.790 0.456 0.582
O: 0.418 0.210 0.544
O: 0.068 0.292 0.929
O: 0.544 0.418 0.210
Y: 0.565 0.071 0.255
Y: 0.929 0.745 0.435
Y: 0.435 0.929 0.745
Y: 0.071 0.255 0.565
Y: 0.255 0.565 0.071
Y: 0.745 0.435 0.929
Al: 0.500 0.500 0.500
Al: 0.000 0.000 0.000


[5]
KPRh2 | GGA-PBE | relaxed

Summary:
The space group is P4/mmm (123). The value obtained for the total energy is -21.3 eV per cell. For the energy relative to the elements, the calculation gives -0.019 eV/atom.

abc: 2.918 2.918 8.314
angles: 90.00 90.00 90.00
Element x y z (fractional)
Rh: 0.000 0.000 0.916
Rh: 0.000 0.000 0.584
P: 0.500 0.500 0.750
K: 0.500 0.500 0.250


[6]
CaDy3Cu | GGA-PBE | relaxed

Summary:
The space group is Pm-3m (221). The value obtained for the total energy is -19.3 eV per cell. For the energy relative to the elements, the calculation gives 0.120 eV/atom.

abc: 5.456 5.456 5.456
angles: 90.00 90.00 90.00
Site moments in Bohr magnetons follow the coordinates.
Element x y z (fractional)
Dy: 0.000 0.000 0.500  0.23
Dy: 0.000 0.500 0.000  0.23
Dy: 0.500 0.000 0.000  0.23
Ca: 0.500 0.500 0.500  0.05
Cu: 0.000 0.000 0.000  0.04